Entry from Alexandria via LeMat-Bulk: an optimized crystal structure of NpAgTe4Pb2 (PBE).

The structure in CIF format:
```
data_NpAgTe4Pb2
_cell_length_a 7.783
_cell_length_b 4.500
_cell_length_c 7.899
_cell_angle_alpha 90.00
_cell_angle_beta 109.65
_cell_angle_gamma 90.00
_symmetry_space_group_name_H-M 'P 1 2/m 1'
_symmetry_Int_Tables_number 10
loop_
_symmetry_equiv_pos_as_xyz
'x,y,z'
'-x,-y,-z'
'-x,y,-z'
'x,-y,z'
loop_
_atom_site_label
_atom_site_type_symbol
_atom_site_fract_x
_atom_site_fract_y
_atom_site_fract_z
Np1 Np 0.000 0.000 0.000
Ag1 Ag 0.500 0.500 0.000
Te1 Te 0.245 0.500 0.235
Te2 Te 0.263 0.000 0.773
Pb1 Pb 0.000 0.500 0.500
Pb2 Pb 0.500 0.000 0.500
```

Results
As for the uncorrected formation energy: -0.350 eV/atom. The electronic total energy is -4.82 eV/atom. The size of the total moment comes out at 4.0 μB/f.u. As for the density of states at the Fermi level: 1.04 states/eV per atom.